Material: Mn2Rh2F
Method: DFT, PBE+U
State: relaxed

The value obtained for the total magnetic moment is 17.6 μB/cell. As for the volume: 16.228 Å³/atom. The value obtained for the energy above the most stable polymorph in this dataset is 0.0 meV/atom.

It has space group P4/mbm (No. 127), with a = 7.142 Å, b = 7.142 Å, c = 3.182 Å, α = 90.00°, β = 90.00° and γ = 90.00°. The asymmetric unit holds Mn at (0.168, 0.332, 0.000), Rh at (0.131, 0.631, 0.500) and F at (0.000, 0.000, 0.500).